Entry 1:
VASP calculation (PBE-GGA) on a relaxed LaY2Mg crystal.

Properties
ρ (Mg/m³): 4.33
Raw total energy (eV per atom): -4.581
Energy relative to the elements (meV/atom): 282
Total magnetization (μB/f.u.): 0.000

a b c (Å): 12.118 12.118 12.118
angles (deg): 157.46 157.46 32.09
Element x y z (fractional)
La: 0.000 0.000 0.000
La: 0.750 0.250 0.500
Y: 0.136 0.625 0.011
Y: 0.375 0.386 0.511
Y: 0.614 0.125 0.989
Y: 0.875 0.864 0.489
Mg: 0.250 0.750 0.500
Mg: 0.500 0.500 0.000



Entry 2:
VASP calculation (PBE-GGA) on a relaxed AlCo2Se crystal.

Properties
ρ (Mg/m³): 7.22
Raw total energy (eV per atom): -5.423
Total magnetization (μB/f.u.): 0.001
Formation energy from raw total energies (eV per atom): -0.064

a b c (Å): 4.549 4.549 4.054
angles (deg): 103.68 103.68 39.33
Element x y z (fractional)
Al: 0.000 0.000 0.000
Co: 0.512 0.512 0.505
Co: 0.735 0.735 0.123
Se: 0.242 0.242 0.604



Entry 3:
VASP calculation (PBE-GGA) on a relaxed LiSiTc2Sb crystal.

Properties
ρ (Mg/m³): 5.51
Raw total energy (eV per atom): -5.553
Total magnetization (μB/f.u.): 2.913
Formation energy from raw total energies (eV per atom): 0.886

a b c (Å): 4.544 4.544 5.150
angles (deg): 90.00 90.00 90.00
Element x y z (fractional)
Li: 0.000 0.000 0.000
Si: 0.500 0.500 0.500
Tc: 0.000 0.500 0.500
Tc: 0.500 0.000 0.500
Sb: 0.500 0.500 0.000



Please write out number 2 again, unchanged.
VASP calculation (PBE-GGA) on a relaxed AlCo2Se crystal.

Properties
ρ (Mg/m³): 7.22
Raw total energy (eV per atom): -5.423
Total magnetization (μB/f.u.): 0.001
Formation energy from raw total energies (eV per atom): -0.064

a b c (Å): 4.549 4.549 4.054
angles (deg): 103.68 103.68 39.33
Element x y z (fractional)
Al: 0.000 0.000 0.000
Co: 0.512 0.512 0.505
Co: 0.735 0.735 0.123
Se: 0.242 0.242 0.604